A geometry-optimized Ac2SmGa4Pd3 structure, computed with GGA-PBE.

## Properties
Total magnetic moment (μB/atom): 0.00
Formation energy from the elements (eV per formula unit): -6.95
Crystal system: tetragonal

Lattice parameters (Å, degrees): 4.4029 4.4029 11.8541 90.00 90.00 90.00
Closest atoms and distances in Å follow each position.
Space group P-4m2 (No. 115)
Asymmetric unit:
Ac1 0.0000 0.5000 0.2257 (multiplicity 2)  8 Ga 3.36-3.46, 4 Pd 3.37
Sm1 0.0000 0.0000 0.5000 (multiplicity 1)  4 Ga 2.96, 4 Pd 3.11
Ga1 0.0000 0.0000 0.0000 (multiplicity 1)  4 Pd 2.61
Ga2 0.0000 0.5000 0.6668 (multiplicity 2)  1 Pd 2.56
Ga3 0.5000 0.5000 0.0000 (multiplicity 1)  4 Pd 2.61
Pd1 0.0000 0.5000 0.8824 (multiplicity 2)  5 Ga 2.56-2.61
Pd2 0.5000 0.5000 0.5000 (multiplicity 1)  4 Ga 2.96, 4 Sm 3.11

***

A geometry-optimized Ac2GaSn3Pd4 structure, computed with GGA-PBE.

## Properties
Total magnetic moment (μB/atom): 0.00
Formation energy from the elements (eV per formula unit): -8.13
Crystal system: tetragonal

Lattice parameters (Å, degrees): 4.6492 4.6492 10.7776 90.00 90.00 90.00
Closest atoms and distances in Å follow each position.
Space group P-4m2 (No. 115)
Asymmetric unit:
Ac1 0.0000 0.5000 0.2485 (multiplicity 2)  8 Pd 3.55-3.57, 6 Sn 3.55, 2 Ga 3.55
Ga1 0.5000 0.5000 0.0000 (multiplicity 1)  4 Pd 2.69
Sn1 0.0000 0.0000 0.0000 (multiplicity 1)  4 Pd 2.69
Sn2 0.0000 0.5000 0.6266 (multiplicity 2)  5 Pd 2.67-2.70
Pd1 0.0000 0.0000 0.5000 (multiplicity 1)  4 Sn 2.70
Pd2 0.0000 0.5000 0.8747 (multiplicity 2)  3 Sn 2.67-2.69, 2 Ga 2.69
Pd3 0.5000 0.5000 0.5000 (multiplicity 1)  4 Sn 2.70

***

A geometry-optimized Ac2Ga3SnPd4 structure, computed with GGA-PBE.

## Properties
Total magnetic moment (μB/atom): 0.00
Formation energy from the elements (eV per formula unit): -8.13
Crystal system: tetragonal

Lattice parameters (Å, degrees): 4.6028 4.6028 10.2391 90.00 90.00 90.00
Closest atoms and distances in Å follow each position.
Space group P-4m2 (No. 115)
Asymmetric unit:
Ac1 0.0000 0.5000 0.2416 (multiplicity 2)  8 Pd 3.38-3.47, 7 Ga 3.51-3.61, 2 Sn 3.51
Ga1 0.0000 0.5000 0.8893 (multiplicity 2)  5 Pd 2.55-2.57
Ga2 0.5000 0.5000 0.5000 (multiplicity 1)  4 Pd 2.72
Sn1 0.0000 0.0000 0.5000 (multiplicity 1)  4 Pd 2.72
Pd1 0.0000 0.0000 0.0000 (multiplicity 1)  4 Ga 2.57
Pd2 0.0000 0.5000 0.6407 (multiplicity 2)  3 Ga 2.55-2.72, 2 Sn 2.72
Pd3 0.5000 0.5000 0.0000 (multiplicity 1)  4 Ga 2.57